Here is an optimized crystal structure of PrPu2HfN4 from Alexandria. Energies are from PBE.

Summary:
- crystal system = monoclinic
- SG = P2/m
- theoretical density (Mg/m³) = 12.3
- final energy (eV per atom) = -10.9447
- E_form (uncorrected) (eV per atom) = -1.357

The structure in POSCAR format:
```
PrPu2HfN4
1.0
3.432 0.000 0.000
0.000 6.060 0.121
0.000 -2.098 5.559
N Pu Pr Hf
4 2 1 1
Cartesian
1.716 0.842 1.343 N
0.000 4.247 1.513 N
1.716 3.120 4.337 N
0.000 -0.285 4.167 N
0.000 1.981 2.840 Pu
1.716 -1.049 2.779 Pu
1.716 3.030 0.061 Pr
0.000 0.000 0.000 Hf
```